# 1
The following is a PBE calculation of a geometry-optimized BaMo3Au structure, from Alexandria.

density of states at the Fermi level = 7.9 states/eV per cell
E_form = 1.88 eV per atom
excess energy over the best structure of this formula in the dataset = 0.0 meV per atom

abc: 5.1275 5.1275 5.1275
angles: 90.00 90.00 90.00
Last column: nearest neighbours and their distance in Å.
Fractional positions:
Mo (0.0000, 0.5000, 0.0000)  2 Au 2.56
Mo (0.5000, 0.0000, 0.0000)  2 Au 2.56
Mo (0.0000, 0.0000, 0.5000)  2 Au 2.56
Ba (0.5000, 0.5000, 0.5000)  12 Mo 3.63
Au (0.0000, 0.0000, 0.0000)  6 Mo 2.56



# 2
The following is a PBE calculation of a geometry-optimized BaMo2Au structure, from Alexandria.

density of states at the Fermi level = 3.8 states/eV per cell
E_form = 0.72 eV per atom
excess energy over the best structure of this formula in the dataset = 346.9 meV per atom

abc: 6.0081 6.0081 6.0081
angles: 147.89 123.83 66.18
Last column: nearest neighbours and their distance in Å.
Fractional positions:
Mo (0.0539, 0.0539, 0.0000)  2 Mo 2.37
Mo (0.2223, 0.7223, 0.5000)  2 Mo 2.37
Ba (0.7590, 0.2590, 0.5000)  8 Mo 3.30-3.50, 2 Ba 3.32, 4 Au 3.40-3.51
Au (0.4647, 0.4647, 0.0000)  2 Mo 2.95



# 3
The following is a PBE calculation of a geometry-optimized BaMoAu structure, from Alexandria.

density of states at the Fermi level = 0.7 states/eV per cell
E_form = 1.35 eV per atom
excess energy over the best structure of this formula in the dataset = 764.2 meV per atom

abc: 5.4026 5.4026 5.4026
angles: 60.00 60.00 60.00
Last column: nearest neighbours and their distance in Å.
Fractional positions:
Ba (0.7500, 0.7500, 0.7500)  4 Au 3.31, 4 Mo 3.31
Au (0.5000, 0.5000, 0.5000)  4 Ba 3.31
Mo (0.0000, 0.0000, 0.0000)  4 Ba 3.31